ZrSc2Pd SCAN single point on PBEsol structure; ΔH_f (0 K) = -0.08 eV/atom; calculated density = 5.81 g/cm3; DFT total energy = -23.064 eV/atom; SG = R-3m
1.0
3.060 0.000 0.000
1.530 2.650 0.000
1.530 0.883 10.129
Sc Zr Pd
2 1 1
Cartesian
1.530 0.883 7.169
4.591 2.650 2.960
0.000 0.000 0.000
3.060 1.767 5.064

***

KLaTe2 SCAN single point on PBEsol structure; calculated density = 5.48 g/cm3; DFT total energy = -32.912 eV/atom; SG = Amm2; ΔE_f (raw) = -1.43 eV per atom
1.0
-1.287 3.694 -1.537
1.793 -1.328 -4.695
-4.684 -4.265 -0.582
Te La K
2 1 1
Cartesian
-0.115 -0.052 -0.029
-1.720 -1.852 -3.010
-3.144 0.712 -1.402
0.157 1.139 -3.140

***

K6MnS4 SCAN single point on PBEsol structure; calculated density = 2.23 g/cm3; DFT total energy = -11.027 eV/atom; SG = P6_3mc; ΔE_f (raw) = -1.32 eV per atom
1.0
-5.861 0.494 -4.800
-0.206 -9.704 -0.747
-5.253 4.465 6.873
K S Mn
12 8 2
Cartesian
-6.591 -1.890 0.245
-1.201 -4.808 -0.634
-6.507 2.107 0.553
-3.507 -1.960 -1.407
-7.176 0.360 -2.693
-6.571 -4.900 2.030
-10.124 2.866 1.164
-3.449 -6.966 1.890
-8.755 -0.051 3.076
-3.364 -2.969 2.198
-3.623 -7.405 -1.827
-10.239 -2.580 0.745
-4.146 0.019 0.899
-6.081 -2.529 -3.004
-4.415 -4.768 -0.277
-6.290 1.841 3.704
-8.309 -4.668 -0.504
-6.374 -2.120 3.399
-6.165 -6.490 -3.309
-9.028 0.202 -0.137
-6.274 -4.611 -1.799
-5.025 -0.135 3.141

***

CrP2WCl SCAN single point on PBEsol structure; calculated density = 5.36 g/cm3; DFT total energy = -22.880 eV/atom; SG = P4/mmm; ΔE_f (raw) = 0.49 eV per atom
1.0
4.661 0.000 0.000
0.000 4.661 0.000
0.000 0.000 4.748
Cr Cl P W
1 1 2 1
Cartesian
2.331 2.331 2.374
0.000 0.000 2.374
0.000 2.331 0.000
2.331 0.000 0.000
0.000 0.000 0.000

***

InHg5 SCAN single point on PBEsol structure; ΔH_f (0 K) = 0.02 eV/atom; energy relative to the lowest polymorph listed for this composition = 0.02 eV per formula unit; calculated density = 13.01 g/cm3; DFT total energy = -62.352 eV/atom; SG = Amm2
1.0
-0.887 1.729 3.334
2.958 -3.178 2.436
6.165 3.781 -2.554
Hg In
5 1
Cartesian
6.800 2.732 0.393
3.573 2.901 -0.554
1.220 2.216 1.409
5.013 5.296 0.821
4.485 2.077 2.350
2.993 -0.360 0.983

***

SrFe2Ni2 SCAN single point on PBEsol structure; ΔH_f (0 K) = 0.27 eV/atom; calculated density = 6.60 g/cm3; DFT total energy = -17.909 eV/atom; SG = I4/mmm
1.0
4.132 0.000 0.000
0.000 4.132 0.000
-2.066 -2.066 4.666
Ni Fe Sr
2 2 1
Cartesian
0.000 2.066 2.333
2.066 0.000 2.333
0.000 0.000 3.461
2.066 2.066 1.205
0.000 0.000 0.000

***

Pr3Cr10N11 SCAN single point on PBEsol structure; calculated density = 7.07 g/cm3; DFT total energy = -18.167 eV/atom; SG = Fm-3m; ΔE_f (raw) = -0.83 eV per atom
1.0
-5.012 -6.822 -3.045
-2.749 -6.436 5.653
-8.683 -0.573 2.284
Cr N Pr
20 22 6
Cartesian
-3.151 -3.430 -0.419
-10.696 -10.230 4.628
-12.470 -8.477 3.621
-3.973 -5.354 1.271
-13.177 -8.527 0.923
-4.669 -5.544 -1.423
-9.498 -12.162 3.011
-3.266 -5.304 3.970
-14.881 -12.517 4.428
-4.249 -1.562 1.175
-2.475 -3.314 2.182
-12.195 -12.269 3.718
-11.774 -8.287 6.315
-5.070 -3.486 2.865
-13.292 -10.401 5.311
-5.747 -3.601 0.264
-1.562 -1.314 0.465
-6.945 -1.669 1.881
-11.373 -10.345 2.028
-13.968 -10.517 2.711
-4.795 -4.414 4.491
-5.688 -0.375 1.496
-9.026 -5.157 -0.170
-6.278 -4.667 -1.207
-8.754 -8.902 -0.074
-1.729 -2.353 -1.050
-6.636 -2.595 3.446
-7.690 -4.929 4.967
-5.794 -4.874 1.724
-0.948 -2.220 1.950
0.000 0.000 0.000
-5.522 -8.619 1.819
-10.921 -5.212 3.073
-1.801 -4.216 3.703
-8.222 -6.915 2.446
-10.649 -8.957 3.168
-3.529 -6.569 2.653
-4.231 -6.689 -0.045
-7.417 -8.674 5.062
-7.417 -2.728 0.446
-2.995 -0.198 0.788
-3.283 -4.469 -1.995
-8.405 -4.397 2.382
-8.039 -9.434 2.510
-10.394 -7.106 1.173
-6.049 -6.725 3.719
-9.496 -6.953 4.626
-6.947 -6.878 0.266

***

ZnNi2AuCl SCAN single point on PBEsol structure; calculated density = 6.52 g/cm3; DFT total energy = -23.960 eV/atom; SG = P4/mmm; ΔE_f (raw) = 0.64 eV per atom
1.0
-1.646 4.067 -1.729
-4.373 -1.232 1.265
0.644 2.061 4.233
Cl Ni Au Zn
1 2 1 1
Cartesian
-2.688 2.448 1.884
-2.186 -0.616 0.632
-0.823 2.033 -0.865
0.000 0.000 0.000
0.322 1.030 2.117

***

Question: DFT total energy of number 7 (Pr3Cr10N11)?
Answer: -18.167 eV/atom

***

Question: The lowest DFT total energy belongs to which entry?
Answer: InHg5